# PBE+U MnNbO2F, optimized geometry
# * VASP energy: -6.88 eV per atom
data_MnNbO2F
_chemical_formula_sum 'Mn1 Nb1 O2 F1'
_symmetry_space_group_name_H-M 'P 4/m m m'
_symmetry_Int_Tables_number 123
_symmetry_space_group_name_Hall '-P 4 2'
_cell_length_a 4.0106
_cell_length_b 4.0106
_cell_length_c 3.8502
_cell_angle_alpha 90.00
_cell_angle_beta 90.00
_cell_angle_gamma 90.00
loop_
_atom_site_label
_atom_site_type_symbol
_atom_site_fract_x
_atom_site_fract_y
_atom_site_fract_z
_atom_site_occupancy
Mn1 Mn 0.0000 0.0000 0.0000 1
Nb1 Nb 0.5000 0.5000 0.5000 1
O1 O 0.0000 0.5000 0.0000 1
F1 F 0.0000 0.0000 0.5000 1